Entry 1:
DFT (PBE-GGA) results for a relaxed structure of ZrTaRe2.

Computed properties:
Total magnetic moment in Bohr magnetons per cell: 0.00
Fermi-level density of states in states/eV per atom: 1.228
ΔE_f in kJ/mol of atoms: 74.9

Cell and atoms, written as POSCAR:
```
ZrTaRe2
1.0
4.823 -1.657 -3.242
-1.195 4.958 3.242
-3.345 0.032 5.033
Ta Zr Re
1 1 2
Direct
0.000 0.500 0.500 Ta
0.000 0.000 0.000 Zr
0.000 0.737 0.737 Re
0.000 0.263 0.263 Re
```

Entry 2:
DFT (PBE-GGA) results for a relaxed structure of Tl3CuCl.

Computed properties:
Total magnetic moment in Bohr magnetons per cell: 0.00
Formation energy without anion corrections in eV per atom: 0.27
Energy relative to the lowest polymorph listed for this composition in meV per atom: 445
Fermi-level density of states in states/eV per atom: 0.397

Cell and atoms, written as POSCAR:
```
Tl3CuCl
1.0
-3.603 2.819 3.666
2.020 -3.222 4.462
4.161 4.005 1.008
Cu Tl Cl
1 3 1
Direct
0.500 0.500 0.500 Cu
0.000 0.000 0.500 Tl
0.000 0.500 0.000 Tl
0.500 0.000 0.000 Tl
0.000 0.000 0.000 Cl
```

Entry 3:
DFT (PBE-GGA) results for a relaxed structure of NdO.

Computed properties:
Total magnetic moment in Bohr magnetons per cell: 0.00
Formation energy without anion corrections in eV per atom: -2.73
Energy relative to the lowest polymorph listed for this composition in meV per atom: 0
Fermi-level density of states in states/eV per atom: 0.337

Cell and atoms, written as POSCAR:
```
NdO
1.0
3.571 0.000 0.000
1.786 3.093 0.000
1.786 1.031 2.916
Nd O
1 1
Direct
0.000 0.000 0.000 Nd
0.500 0.500 0.500 O
```

Entry 4:
DFT (PBE-GGA) results for a relaxed structure of CrGa3Si.

Computed properties:
Total magnetic moment in Bohr magnetons per cell: 0.36
Formation energy without anion corrections in eV per atom: 1.16
Energy relative to the lowest polymorph listed for this composition in meV per atom: 500
Fermi-level density of states in states/eV per atom: 1.612

Cell and atoms, written as POSCAR:
```
CrGa3Si
1.0
-4.240 -1.630 1.271
1.811 -1.530 4.078
-0.997 4.153 2.001
Cr Ga Si
1 3 1
Direct
0.500 0.500 0.500 Cr
0.000 0.500 0.000 Ga
0.500 0.000 0.000 Ga
0.000 0.000 0.500 Ga
0.000 0.000 0.000 Si
```

Entry 5:
DFT (PBE-GGA) results for a relaxed structure of PmZnGePt3.

Computed properties:
Total magnetic moment in Bohr magnetons per cell: 0.00
Fermi-level density of states in states/eV per atom: 0.263
ΔE_f in kJ/mol of atoms: -62.3

Cell and atoms, written as POSCAR:
```
PmZnGePt3
1.0
5.667 0.000 0.000
0.000 6.863 0.000
0.000 -3.431 6.000
Ge Pt Pm Zn
2 6 2 2
Direct
0.750 0.627 0.254 Ge
0.250 0.373 0.746 Ge
0.250 0.172 0.345 Pt
0.000 0.292 0.000 Pt
0.500 0.292 0.000 Pt
0.000 0.708 0.000 Pt
0.750 0.828 0.655 Pt
0.500 0.708 0.000 Pt
0.250 0.707 0.413 Pm
0.750 0.293 0.587 Pm
0.750 0.046 0.092 Zn
0.250 0.954 0.908 Zn
```

Entry 6:
DFT (PBE-GGA) results for a relaxed structure of BaLaS2N.

Computed properties:
Total magnetic moment in Bohr magnetons per cell: 0.38
Formation energy without anion corrections in eV per atom: -0.06
Energy relative to the lowest polymorph listed for this composition in meV per atom: 925
Fermi-level density of states in states/eV per atom: 1.070

Cell and atoms, written as POSCAR:
```
BaLaS2N
1.0
-1.653 5.226 1.144
-0.659 -1.387 5.385
4.146 1.136 0.800
S La Ba N
2 1 1 1
Direct
0.500 0.000 0.000 S
0.000 0.500 0.000 S
0.500 0.500 0.500 La
0.000 0.000 0.000 Ba
0.000 0.000 0.500 N
```

Entry 7:
DFT (PBE-GGA) results for a relaxed structure of Cs2SnBr6F.

Computed properties:
Total magnetic moment in Bohr magnetons per cell: 1.00
Formation energy without anion corrections in eV per atom: -1.10
Fermi-level density of states in states/eV per atom: 0.338

Cell and atoms, written as POSCAR:
```
Cs2SnBr6F
1.0
7.608 0.000 0.000
0.000 7.608 0.000
3.804 3.804 6.015
Br Cs F Sn
6 2 1 1
Direct
0.753 0.247 0.000 Br
0.753 0.753 0.000 Br
0.247 0.753 0.000 Br
0.223 0.223 0.554 Br
0.247 0.247 0.000 Br
0.777 0.777 0.446 Br
0.250 0.750 0.500 Cs
0.750 0.250 0.500 Cs
0.500 0.500 0.000 F
0.000 0.000 0.000 Sn
```

Entry 8:
DFT (PBE-GGA) results for a relaxed structure of Zr2TlCoSn.

Computed properties:
Total magnetic moment in Bohr magnetons per cell: 0.00
Fermi-level density of states in states/eV per atom: 0.638
ΔE_f in kJ/mol of atoms: 6.0

Cell and atoms, written as POSCAR:
```
Zr2TlCoSn
1.0
4.857 0.000 0.000
0.000 4.878 0.000
0.000 0.000 4.857
Sn Zr Tl Co
1 2 1 1
Direct
0.500 0.500 0.500 Sn
0.000 0.000 0.500 Zr
0.500 0.000 0.000 Zr
0.000 0.500 0.000 Tl
0.000 0.000 0.000 Co
```

Entry 9:
DFT (PBE-GGA) results for a relaxed structure of MnB2RhSe.

Computed properties:
Total magnetic moment in Bohr magnetons per cell: 0.50
Formation energy without anion corrections in eV per atom: 1.99
Fermi-level density of states in states/eV per atom: 1.023

Cell and atoms, written as POSCAR:
```
MnB2RhSe
1.0
4.016 0.000 0.000
0.000 4.640 0.000
0.000 0.000 4.016
B Mn Rh Se
2 1 1 1
Direct
0.000 0.000 0.500 B
0.500 0.000 0.000 B
0.500 0.500 0.500 Mn
0.000 0.500 0.000 Rh
0.000 0.000 0.000 Se
```

Entry 10:
DFT (PBE-GGA) results for a relaxed structure of CsCaY2Sc.

Computed properties:
Total magnetic moment in Bohr magnetons per cell: 0.00
Fermi-level density of states in states/eV per atom: 0.636
ΔE_f in kJ/mol of atoms: 112.8

Cell and atoms, written as POSCAR:
```
CsCaY2Sc
1.0
-4.599 0.347 -3.295
-3.078 -2.534 4.029
-1.229 5.070 2.250
Cs Y Ca Sc
1 2 1 1
Direct
0.000 0.000 0.000 Cs
0.000 0.500 0.000 Y
0.500 0.000 0.000 Y
0.000 0.000 0.500 Ca
0.500 0.500 0.500 Sc
```

Entry 11:
DFT (PBE-GGA) results for a relaxed structure of LaCoBr.

Computed properties:
Total magnetic moment in Bohr magnetons per cell: 0.00
Formation energy without anion corrections in eV per atom: -0.36
Fermi-level density of states in states/eV per atom: 0.799

Cell and atoms, written as POSCAR:
```
LaCoBr
1.0
-2.633 0.159 3.334
-1.339 -1.632 -3.690
1.225 -3.577 1.138
Br La Co
1 1 1
Direct
0.000 0.000 0.168 Br
0.667 0.333 0.668 La
0.333 0.667 0.164 Co
```

Entry 12:
DFT (PBE-GGA) results for a relaxed structure of Ba2ZrOs.

Computed properties:
Total magnetic moment in Bohr magnetons per cell: 0.00
Energy relative to the lowest polymorph listed for this composition in meV per atom: 710
Fermi-level density of states in states/eV per atom: 0.964
ΔE_f in kJ/mol of atoms: 88.3

Cell and atoms, written as POSCAR:
```
Ba2ZrOs
1.0
4.388 0.000 0.000
0.000 4.387 0.000
0.000 0.000 5.676
Ba Os Zr
2 1 1
Direct
0.000 0.000 0.000 Ba
0.500 0.500 0.000 Ba
0.500 0.000 0.500 Os
0.000 0.500 0.500 Zr
```

Entry 13:
DFT (PBE-GGA) results for a relaxed structure of BaLa2Au.

Computed properties:
Total magnetic moment in Bohr magnetons per cell: 0.00
Energy relative to the lowest polymorph listed for this composition in meV per atom: 122
Fermi-level density of states in states/eV per atom: 1.421
ΔE_f in kJ/mol of atoms: -19.3

Cell and atoms, written as POSCAR:
```
BaLa2Au
1.0
-4.411 0.979 8.045
-7.170 -4.742 -3.354
-4.335 -4.908 3.512
La Au Ba
4 2 2
Direct
0.060 0.625 0.250 La
0.875 0.940 0.750 La
0.690 0.125 0.250 La
0.375 0.310 0.750 La
0.000 0.000 0.000 Au
0.750 0.250 0.500 Au
0.250 0.750 0.500 Ba
0.500 0.500 0.000 Ba
```